(1)
{
  "formula": "La4GeAs2S",
  "functional": "PBE",
  "state": "optimized geometry",
  "lattice": [[-1.042, -1.042, -4.080], [0.373, -7.310, 1.771], [-6.750, -2.354, 2.325]],
  "species": ["La", "La", "La", "La", "Ge", "As", "As", "S"],
  "fractional_positions": [[0.000, 0.750, 0.749], [0.000, 0.250, 0.251], [0.500, 0.750, 0.249], [0.500, 0.250, 0.751], [0.000, 0.500, 0.500], [0.000, 0.000, 0.000], [0.500, 0.000, 0.500], [0.500, 0.500, 0.000]]
}

(2)
{
  "formula": "La6GeAs3S2",
  "functional": "PBE",
  "state": "optimized geometry",
  "lattice": [[4.325, 0.000, 0.000], [0.000, 8.635, 0.316], [-2.163, -2.480, 9.076]],
  "species": ["La", "La", "La", "La", "La", "La", "Ge", "As", "As", "As", "S", "S"],
  "fractional_positions": [[0.334, 0.917, 0.667], [0.666, 0.583, 0.333], [0.666, 0.083, 0.333], [0.001, 0.250, 0.002], [0.999, 0.750, 0.998], [0.334, 0.417, 0.667], [0.500, 0.000, 0.000], [0.500, 0.500, 0.000], [0.832, 0.170, 0.664], [0.168, 0.830, 0.336], [0.831, 0.663, 0.662], [0.169, 0.337, 0.338]]
}

(3)
{
  "formula": "La4GeAsS2",
  "functional": "PBE",
  "state": "optimized geometry",
  "lattice": [[-2.999, 2.473, 1.864], [-1.538, -5.446, 4.751], [4.310, 0.660, 6.058]],
  "species": ["La", "La", "La", "La", "Ge", "As", "S", "S"],
  "fractional_positions": [[0.000, 0.751, 0.749], [0.000, 0.249, 0.251], [0.500, 0.751, 0.250], [0.500, 0.249, 0.750], [0.000, 0.500, 0.500], [0.500, 0.500, 0.000], [0.000, 0.000, 0.000], [0.500, 0.000, 0.500]]
}

(4)
{
  "formula": "La4GeAs2Se",
  "functional": "PBE",
  "state": "optimized geometry",
  "lattice": [[-0.889, -3.477, 2.490], [5.106, 2.349, 5.104], [-3.408, 4.502, 5.070]],
  "species": ["La", "La", "La", "La", "Ge", "As", "As", "Se"],
  "fractional_positions": [[0.000, 0.755, 0.743], [0.000, 0.245, 0.257], [0.500, 0.752, 0.251], [0.500, 0.248, 0.749], [0.000, 0.500, 0.500], [0.000, 0.000, 0.000], [0.500, 0.000, 0.500], [0.500, 0.500, 0.000]]
}

| no. | formation energy without anion corrections (eV/atom) | DOS at the Fermi energy (states/eV/f.u.) |
| --- | --- | --- |
| 1 | -1.54 | 1.39 |
| 2 | -1.66 | 3.11 |
| 3 | -1.71 | 2.04 |
| 4 | -1.52 | 1.43 |